[1]
DFT (PBE) results for crystalline PuPaAl at its relaxed geometry.

abc: 4.4344 4.3964 7.0013
angles: 89.99 71.42 90.00
Last column: magnetic moment on the atom in μB.
Element x y z (fractional)
Pu (0.0143, 0.6056, 0.0684)  4.93
Al (0.1949, 0.1059, 0.7063)  -0.01
Al (0.3496, 0.6053, 0.3976)  -0.01
Pa (0.8628, 0.1053, 0.3718)  0.14
Pu (0.5302, 0.1056, 0.0355)  4.93
Pa (0.6816, 0.6059, 0.7321)  0.14

DFT total energy	-55.9	eV per cell
distance to the lowest polymorph of the same formula	0.000	eV/atom
symmetry	P2_1/m, No. 11
DOS at the Fermi energy	1.533	states/eV/atom
size of the total moment	1.722	μB per atom
DFT formation energy	-0.1192	eV/atom


[2]
DFT (PBE) results for crystalline Pu3PaAl8 at its relaxed geometry.

abc: 5.4980 5.4980 9.5563
angles: 73.28 73.28 60.00
Last column: magnetic moment on the atom in μB.
Element x y z (fractional)
Al (0.9377, 0.4382, 0.6863)  0.00
Al (0.9377, 0.9377, 0.6863)  0.00
Pu (0.5007, 0.5007, 0.4978)  5.31
Pu (0.3746, 0.3746, 0.8763)  -5.28
Al (0.1872, 0.1872, 0.4384)  -0.02
Al (0.6878, 0.6878, 0.9366)  0.03
Al (0.4372, 0.9367, 0.1889)  0.01
Al (0.4382, 0.9377, 0.6863)  0.00
Al (0.9367, 0.4372, 0.1889)  0.01
Al (0.4372, 0.4372, 0.1889)  0.01
Pa (0.8750, 0.8750, 0.3750)  0.49
Pu (0.9999, 0.9999, 0.0002)  -5.29

DFT total energy	-86.7	eV per cell
distance to the lowest polymorph of the same formula	0.000	eV/atom
symmetry	R3m, No. 160
DOS at the Fermi energy	1.809	states/eV/atom
size of the total moment	0.407	μB per atom
DFT formation energy	-0.3571	eV/atom


[3]
DFT (PBE) results for crystalline PuPaAl at its relaxed geometry.

abc: 2.9502 4.9769 4.9769
angles: 120.00 90.00 90.00
Last column: magnetic moment on the atom in μB.
Element x y z (fractional)
Pa (0.1667, 0.3333, 0.6667)  -0.03
Al (0.6666, 0.6667, 0.3333)  -0.03
Pu (0.1668, 0.0000, 0.0000)  5.05

DFT total energy	-27.8	eV per cell
distance to the lowest polymorph of the same formula	0.053	eV/atom
symmetry	P-6m2, No. 187
DOS at the Fermi energy	2.032	states/eV/atom
size of the total moment	1.669	μB per atom
DFT formation energy	-0.0663	eV/atom


[4]
DFT (PBE) results for crystalline PuPaAl at its relaxed geometry.

abc: 3.9270 3.9270 11.1698
angles: 79.88 79.88 60.00
Element x y z (fractional)
Al (0.1469, 0.1469, 0.5593)
Pa (0.2516, 0.2516, 0.2451)
Pa (0.7484, 0.7484, 0.7549)
Pu (0.3259, 0.3259, 0.0223)
Al (0.8531, 0.8531, 0.4407)
Pu (0.6741, 0.6741, 0.9777)

DFT total energy	-53.8	eV per cell
distance to the lowest polymorph of the same formula	0.343	eV/atom
symmetry	R-3m, No. 166
DOS at the Fermi energy	1.140	states/eV/atom
size of the total moment	0.000	μB per atom
DFT formation energy	0.2235	eV/atom


[5]
DFT (PBE) results for crystalline PuPa4Al at its relaxed geometry.

abc: 5.4953 5.4953 11.0278
angles: 104.35 104.35 60.35
Last column: magnetic moment on the atom in μB.
Element x y z (fractional)
Pu (0.0000, 0.5000, 0.0000)  4.85
Pu (0.5000, 0.0000, 0.5000)  4.85
Pa (0.8394, 0.3221, 0.4997)  -0.14
Pa (0.4151, 0.2524, 0.2506)  -0.17
Al (0.0824, 0.9176, 0.2500)  0.00
Al (0.9176, 0.0824, 0.7500)  0.00
Pa (0.2524, 0.4151, 0.7506)  -0.17
Pa (0.6779, 0.1606, 0.0003)  -0.14
Pa (0.5849, 0.7476, 0.7494)  -0.17
Pa (0.7476, 0.5849, 0.2494)  -0.17
Pa (0.3221, 0.8394, 0.9997)  -0.14
Pa (0.1606, 0.6779, 0.5003)  -0.14

DFT total energy	-112.6	eV per cell
symmetry	C2/c, No. 15
DOS at the Fermi energy	1.925	states/eV/atom
size of the total moment	0.704	μB per atom
DFT formation energy	-0.0442	eV/atom


[6]
DFT (PBE) results for crystalline PuPa5Al at its relaxed geometry.

abc: 5.3637 7.9677 7.0708
angles: 124.29 112.29 90.00
Last column: magnetic moment on the atom in μB.
Element x y z (fractional)
Pa (0.1572, 0.5000, 0.0000)  -0.10
Pa (0.1949, 0.2310, 0.4621)  0.07
Pa (0.3820, 0.1918, 0.0000)  -0.06
Al (0.6602, 0.5000, 0.0000)  0.00
Pu (0.0216, 0.0000, 0.0000)  0.95
Pa (0.7328, 0.7690, 0.5379)  0.07
Pa (0.3820, 0.8082, 0.0000)  -0.06

DFT total energy	-59.1	eV per cell
symmetry	Imm2, No. 44
DOS at the Fermi energy	2.326	states/eV/atom
size of the total moment	0.107	μB per atom
DFT formation energy	0.9265	eV/atom


[7]
DFT (PBE) results for crystalline PuPa2Al at its relaxed geometry.

abc: 3.5368 3.5368 8.5280
angles: 78.03 78.03 60.00
Last column: magnetic moment on the atom in μB.
Element x y z (fractional)
Pa (0.2631, 0.2631, 0.2108)  0.09
Al (0.4995, 0.4995, 0.5016)  0.00
Pa (0.0664, 0.0664, 0.8009)  -0.05
Pu (0.6711, 0.6711, 0.9867)  0.88

DFT total energy	-35.7	eV per cell
distance to the lowest polymorph of the same formula	0.446	eV/atom
symmetry	R3m, No. 160
DOS at the Fermi energy	1.706	states/eV/atom
size of the total moment	0.216	μB per atom
DFT formation energy	0.3457	eV/atom


[8]
DFT (PBE) results for crystalline PuPaAlRu at its relaxed geometry.

abc: 4.7663 4.7663 4.7663
angles: 60.00 60.00 60.00
Last column: magnetic moment on the atom in μB.
Element x y z (fractional)
Pa (0.5000, 0.5000, 0.5000)  0.83
Ru (0.2500, 0.2500, 0.2500)  -0.19
Pu (0.7500, 0.7500, 0.7500)  5.25
Al (0.0000, 0.0000, 0.0000)  0.00

DFT total energy	-38.1	eV per cell
symmetry	F-43m, No. 216
DOS at the Fermi energy	1.745	states/eV/atom
size of the total moment	1.512	μB per atom
DFT formation energy	-0.3100	eV/atom


[9]
DFT (PBE) results for crystalline Pu2PaAl2Ru5 at its relaxed geometry.

abc: 3.5026 10.0606 10.0606
angles: 90.00 90.00 90.00
Last column: magnetic moment on the atom in μB.
Element x y z (fractional)
Pu (0.0000, 0.8313, 0.6687)  4.93
Ru (0.5000, 0.9271, 0.2027)  -0.23
Ru (0.5000, 0.7027, 0.4271)  -0.23
Ru (0.5000, 0.0000, 0.5000)  -0.36
Pu (0.0000, 0.1687, 0.3313)  4.93
Ru (0.5000, 0.5729, 0.7027)  -0.23
Al (0.0000, 0.8726, 0.3726)  0.00
Ru (0.5000, 0.2973, 0.5729)  -0.23
Ru (0.5000, 0.4271, 0.2973)  -0.23
Pa (0.0000, 0.0000, 0.0000)  0.18
Pu (0.0000, 0.3313, 0.8313)  4.93
Ru (0.5000, 0.2027, 0.0729)  -0.23
Ru (0.5000, 0.7973, 0.9271)  -0.23
Ru (0.5000, 0.5000, 0.0000)  -0.36
Al (0.0000, 0.1274, 0.6274)  0.00
Al (0.0000, 0.6274, 0.8726)  0.00
Pa (0.0000, 0.5000, 0.5000)  0.18
Al (0.0000, 0.3726, 0.1274)  0.00
Ru (0.5000, 0.0729, 0.7973)  -0.23
Pu (0.0000, 0.6687, 0.1687)  4.93

DFT total energy	-191.3	eV per cell
symmetry	P4/mbm, No. 127
DOS at the Fermi energy	2.589	states/eV/atom
size of the total moment	0.918	μB per atom
DFT formation energy	-0.3612	eV/atom


[10]
DFT (PBE) results for crystalline PuPa2AlSi2 at its relaxed geometry.

abc: 5.5900 5.5900 6.4368
angles: 115.74 115.74 90.00
Last column: magnetic moment on the atom in μB.
Element x y z (fractional)
Si (0.7659, 0.7659, 0.5317)  -0.02
Si (0.2341, 0.2341, 0.4683)  -0.02
Al (0.0000, 0.0000, 0.0000)  -0.01
Pa (0.2500, 0.7500, 0.5000)  0.36
Pa (0.7500, 0.2500, 0.5000)  0.36
Pu (0.5000, 0.5000, 0.0000)  5.40

DFT total energy	-46.6	eV per cell
symmetry	I4/mmm, No. 139
DOS at the Fermi energy	1.833	states/eV/atom
size of the total moment	1.130	μB per atom
ΔE_f (raw)	211.8	meV per atom


[11]
DFT (PBE) results for crystalline Pu2PaAl2Si2 at its relaxed geometry.

abc: 4.0589 4.0589 9.1055
angles: 77.12 77.12 60.00
Element x y z (fractional)
Al (0.4118, 0.4118, 0.7647)
Pu (0.8499, 0.8499, 0.4503)
Pu (0.1501, 0.1501, 0.5497)
Si (0.2619, 0.2619, 0.2143)
Pa (0.0000, 0.0000, 0.0000)
Si (0.7381, 0.7381, 0.7857)
Al (0.5882, 0.5882, 0.2353)

DFT total energy	-57.6	eV per cell
symmetry	R-3m, No. 166
DOS at the Fermi energy	1.312	states/eV/atom
size of the total moment	0.000	μB per atom
ΔE_f (raw)	-157.3	meV per atom


[12]
DFT (PBE) results for crystalline SmPuPaAl at its relaxed geometry.

abc: 5.1773 5.1773 5.1773
angles: 60.00 60.00 60.00
Last column: magnetic moment on the atom in μB.
Element x y z (fractional)
Pu (0.7500, 0.7500, 0.7500)  5.39
Pa (0.5000, 0.5000, 0.5000)  1.05
Sm (0.2500, 0.2500, 0.2500)  0.02
Al (0.0000, 0.0000, 0.0000)  -0.02

DFT total energy	-31.8	eV per cell
symmetry	F-43m, No. 216
DOS at the Fermi energy	2.411	states/eV/atom
size of the total moment	1.747	μB per atom
DFT formation energy	0.1299	eV/atom